Material: NiIr2Os
Method: DFT, PBE
State: relaxed

Results
Excess energy over the best structure of this formula in the dataset   0.033 eV/atom

Cell lengths 4.665, 4.665, 4.665 Å; angles 132.16, 132.16, 69.97 degrees
Positions (direct):
Os1 0.750 0.250 0.500
Ir1 0.500 0.500 0.000
Ir2 0.000 0.000 0.000
Ni1 0.250 0.750 0.500



Material: SrSc3
Method: DFT, PBE
State: relaxed

Cell lengths 4.897, 4.897, 4.897 Å; angles 90.00, 90.00, 90.00 degrees
Site moments in Bohr magnetons follow the coordinates.
Positions (direct):
Sc1 0.500 0.500 0.000  0.29
Sc2 0.500 0.000 0.500  0.29
Sc3 0.000 0.500 0.500  0.29
Sr1 0.000 0.000 0.000  0.04



Material: TiGeBi2Ru
Method: DFT, PBE
State: relaxed

Cell lengths 5.405, 4.621, 5.405 Å; angles 90.00, 90.00, 90.00 degrees
Site moments in Bohr magnetons follow the coordinates.
Positions (direct):
Ti1 0.500 0.500 0.500  -0.12
Ge1 0.000 0.500 0.000  0.01
Bi1 0.000 0.000 0.500  0.02
Bi2 0.500 0.000 0.000  0.03
Ru1 0.000 0.000 0.000  0.08



The records above yield total magnetization values of 0.0 1.7 0.0 μB per formula unit, respectively.
The records above yield energy relative to the elements values of 0.039 0.347 0.713 eV/atom, respectively.